YRhO2F | PBEsol | optimized geometry

a b c (Å): 4.3404 4.3404 4.1530
angles (deg): 90.00 90.00 90.00
Fractional coordinates of all 5 atoms:
1 Y 0.0000 0.0000 0.0000
2 Rh 0.5000 0.5000 0.5000
3 O 0.0000 0.5000 0.0000
4 O 0.5000 0.0000 0.0000
5 F 0.0000 0.0000 0.5000

Calculated values
E_tot = -6.751 eV/atom
SG = P4/mmm, No. 123

=====

CuPt | PBEsol | optimized geometry

a b c (Å): 5.0945 5.0945 5.0945
angles (deg): 148.56 129.26 60.92
Fractional coordinates of all 4 atoms:
1 Cu 0.3844 0.1344 0.2500
2 Cu 0.6156 0.8656 0.7500
3 Pt 0.1339 0.3839 0.7500
4 Pt 0.8661 0.6161 0.2500

Calculated values
Formation enthalpy at 0 K = -0.06 eV/atom
SG = Imma, No. 74

=====

SiPt4Pb | PBEsol | optimized geometry

a b c (Å): 5.2996 5.2996 5.2996
angles (deg): 60.00 60.00 60.00
Fractional coordinates of all 6 atoms:
1 Si 0.0000 0.0000 0.0000
2 Pt 0.1237 0.6254 0.6254
3 Pt 0.6254 0.1237 0.6254
4 Pt 0.6254 0.6254 0.1237
5 Pt 0.6254 0.6254 0.6254
6 Pb 0.2500 0.2500 0.2500

Calculated values
E_tot = -6.195 eV/atom
SG = F-43m, No. 216

=====

ZrNi5 | PBEsol | optimized geometry

a b c (Å): 4.4144 4.4144 5.1367
angles (deg): 106.68 106.68 48.54
Fractional coordinates of all 6 atoms:
1 Zr 0.0000 0.0000 0.0000
2 Ni 0.0000 0.0000 0.5000
3 Ni 0.3227 0.3227 0.6559
4 Ni 0.3383 0.3383 0.1901
5 Ni 0.6617 0.6617 0.8099
6 Ni 0.6773 0.6773 0.3441

Calculated values
Formation enthalpy at 0 K = -0.26 eV/atom
SG = C2/m, No. 12

=====

SrTiI2O | PBEsol | optimized geometry

a b c (Å): 5.7824 5.7824 3.8101
angles (deg): 90.00 90.00 90.00
Fractional coordinates of all 5 atoms:
1 Sr 0.0000 0.0000 0.0000
2 Ti 0.5000 0.5000 0.5000
3 I 0.0000 0.5000 0.5000
4 I 0.5000 0.0000 0.5000
5 O 0.5000 0.5000 0.0000

Calculated values
E_tot = -5.234 eV/atom
SG = P4/mmm, No. 123

=====

BAs2RhSe | PBEsol | optimized geometry

a b c (Å): 4.5798 4.5798 5.2095
angles (deg): 90.00 90.00 90.00
Fractional coordinates of all 5 atoms:
1 B 0.0000 0.0000 0.0000
2 As 0.0000 0.5000 0.5000
3 As 0.5000 0.0000 0.5000
4 Rh 0.5000 0.5000 0.5000
5 Se 0.5000 0.5000 0.0000

Calculated values
E_tot = -4.558 eV/atom
SG = P4/mmm, No. 123

=====

Cd2ReW | PBEsol | optimized geometry

a b c (Å): 9.8609 9.8609 9.8609
angles (deg): 16.48 16.48 16.48
Fractional coordinates of all 4 atoms:
1 Cd 0.2490 0.2490 0.2490
2 Cd 0.7510 0.7510 0.7510
3 Re 0.5000 0.5000 0.5000
4 W 0.0000 0.0000 0.0000

Calculated values
Formation enthalpy at 0 K = 0.67 eV/atom
SG = R-3m, No. 166

=====

MnOsAu2 | PBEsol | optimized geometry

a b c (Å): 9.3155 9.3155 9.3155
angles (deg): 16.83 16.83 16.83
Fractional coordinates of all 4 atoms:
1 Mn 0.0000 0.0000 0.0000
2 Os 0.2655 0.2655 0.2655
3 Au 0.5085 0.5085 0.5085
4 Au 0.7489 0.7489 0.7489

Calculated values
Formation enthalpy at 0 K = 0.23 eV/atom
SG = R3m, No. 160

=====

CrCoNi2 | PBEsol | optimized geometry

a b c (Å): 4.2330 4.2330 4.2964
angles (deg): 98.81 98.81 33.24
Fractional coordinates of all 4 atoms:
1 Cr 0.0000 0.0000 0.0000
2 Co 0.2487 0.2487 0.7583
3 Ni 0.5018 0.5018 0.5030
4 Ni 0.7505 0.7505 0.2552

Calculated values
Formation enthalpy at 0 K = 0.05 eV/atom
SG = Cm, No. 8

=====

YAlAg4 | PBEsol | optimized geometry

a b c (Å): 5.4210 5.4210 5.4210
angles (deg): 60.00 60.00 60.00
Fractional coordinates of all 6 atoms:
1 Y 0.0000 0.0000 0.0000
2 Al 0.7500 0.7500 0.7500
3 Ag 0.3752 0.3752 0.3752
4 Ag 0.3752 0.3752 0.8743
5 Ag 0.3752 0.8743 0.3752
6 Ag 0.8743 0.3752 0.3752

Calculated values
Formation enthalpy at 0 K = -0.19 eV/atom
SG = F-43m, No. 216

=====

Ba3CaF | PBEsol | optimized geometry

a b c (Å): 5.7913 5.7913 5.7913
angles (deg): 90.00 90.00 90.00
Fractional coordinates of all 5 atoms:
1 Ba 0.0000 0.0000 0.5000
2 Ba 0.0000 0.5000 0.0000
3 Ba 0.5000 0.0000 0.0000
4 Ca 0.5000 0.5000 0.5000
5 F 0.0000 0.0000 0.0000

Calculated values
E_tot = -3.148 eV/atom
SG = Pm-3m, No. 221

=====

Tb4CeS7 | PBEsol | optimized geometry

a b c (Å): 6.7044 6.7044 11.5373
angles (deg): 104.22 104.22 32.84
Fractional coordinates of all 12 atoms:
1 Tb 0.0000 0.0000 0.0000
2 Tb 0.3994 0.3994 0.6256
3 Tb 0.5858 0.5858 0.3945
4 Tb 0.6999 0.6999 0.8117
5 Ce 0.8130 0.8130 0.2354
6 S 0.0403 0.0403 0.7634
7 S 0.1973 0.1973 0.3175
8 S 0.3586 0.3586 0.8635
9 S 0.4447 0.4447 0.1624
10 S 0.6567 0.6567 0.0257
11 S 0.7424 0.7424 0.5981
12 S 0.9615 0.9615 0.4678

Calculated values
E_tot = -6.852 eV/atom
SG = Cm, No. 8

=====

ZnCoSb | PBEsol | optimized geometry

a b c (Å): 6.2340 6.2340 6.2340
angles (deg): 152.61 152.61 39.12
Fractional coordinates of all 3 atoms:
1 Zn 0.0000 0.0000 0.0000
2 Co 0.3808 0.3808 0.0000
3 Sb 0.7446 0.7446 0.0000

Calculated values
E_tot = -4.486 eV/atom
SG = I4mm, No. 107

=====

Tm5Ni2Sb | PBEsol | optimized geometry

a b c (Å): 8.3475 8.3475 8.3475
angles (deg): 127.37 127.37 77.65
Fractional coordinates of all 16 atoms:
1 Tm 0.0000 0.0000 0.0000
2 Tm 0.0207 0.5207 0.8145
3 Tm 0.2062 0.0207 0.5000
4 Tm 0.2938 0.7938 0.8145
5 Tm 0.4793 0.2938 0.5000
6 Tm 0.5000 0.5000 0.0000
7 Tm 0.5207 0.7062 0.5000
8 Tm 0.7062 0.2062 0.1855
9 Tm 0.7938 0.9793 0.5000
10 Tm 0.9793 0.4793 0.1855
11 Ni 0.1305 0.3695 0.5000
12 Ni 0.3695 0.8695 0.2390
13 Ni 0.6305 0.1305 0.7610
14 Ni 0.8695 0.6305 0.5000
15 Sb 0.2500 0.2500 0.0000
16 Sb 0.7500 0.7500 0.0000

Calculated values
E_tot = -5.743 eV/atom
SG = I4/mcm, No. 140